Entry 1:
# HgPtW2

A geometry-optimized HgPtW2 structure (GGA-PBE, OQMD).

a = 6.4851 Å, b = 6.4851 Å, c = 6.4851 Å
α = 90.00°, β = 90.00°, γ = 90.00°
Space group F-43m (No. 216)
Unique sites:
Hg  0.0000  0.0000  0.0000
Pt  0.2500  0.2500  0.7500
W  0.0000  0.0000  0.5000
W  0.2500  0.2500  0.2500

Output
For the total DFT energy (no corrections), the calculation gives -7.49 eV/atom. The energy of formation is 0.582 eV/atom. The density comes out at 18.590 g cm⁻³.

***

Entry 2:
# NdScNO

A geometry-optimized NdScNO structure (GGA-PBE, OQMD).

a = 6.4504 Å, b = 7.8475 Å, c = 5.2075 Å
α = 90.00°, β = 90.00°, γ = 90.00°
Space group Pca2_1 (No. 29)
Unique sites:
Nd  0.0656  0.1342  0.0000
Sc  0.0846  0.6215  0.9796
N  0.0667  0.1535  0.4912
O  0.1017  0.5846  0.5756

Output
For the total DFT energy (no corrections), the calculation gives -8.18 eV/atom. The density comes out at 5.523 g cm⁻³. As for the relative energy among the computed polymorphs: 0.065 eV per atom.

***

Entry 3:
# La3Fe4P4

A geometry-optimized La3Fe4P4 structure (GGA-PBE, OQMD).

a = 3.9760 Å, b = 4.0001 Å, c = 23.6592 Å
α = 90.00°, β = 90.00°, γ = 90.00°
Space group Immm (No. 71)
Unique sites:
La  0.0000  0.0000  0.0000
La  0.0000  0.5000  0.3515
Fe  0.0000  0.0000  0.2493
Fe  0.0000  0.5000  0.0997
P  0.0000  0.0000  0.4448
P  0.0000  0.5000  0.2018

Output
For the total DFT energy (no corrections), the calculation gives -7.19 eV/atom. The density comes out at 6.743 g cm⁻³.

***

Entry 4:
# PrGd3Cl

A geometry-optimized PrGd3Cl structure (GGA-PBE, OQMD).

a = 5.3658 Å, b = 5.3658 Å, c = 5.3658 Å
α = 90.00°, β = 90.00°, γ = 90.00°
Space group Pm-3m (No. 221)
Unique sites:
Pr  0.0000  0.0000  0.0000
Gd  0.0000  0.5000  0.5000
Cl  0.5000  0.5000  0.5000

Output
For the total DFT energy (no corrections), the calculation gives -4.60 eV/atom. The density comes out at 6.966 g cm⁻³.

***

Entry 5:
# RbDySbTe3

A geometry-optimized RbDySbTe3 structure (GGA-PBE, OQMD).

a = 4.4388 Å, b = 17.5588 Å, c = 11.6522 Å
α = 90.00°, β = 90.00°, γ = 90.00°
Space group Cmcm (No. 63)
Unique sites:
Rb  0.0000  0.2374  0.2500
Dy  0.0000  0.0000  0.0000
Sb  0.0000  0.4592  0.7500
Te  0.0000  0.0886  0.7500
Te  0.0000  0.3751  0.5287

Output
For the total DFT energy (no corrections), the calculation gives -3.90 eV/atom. The density comes out at 5.504 g cm⁻³.

***

Entry 6:
# GdTmAl2

A geometry-optimized GdTmAl2 structure (GGA-PBE, OQMD).

a = 5.0083 Å, b = 6.6610 Å, c = 11.3731 Å
α = 90.00°, β = 90.00°, γ = 90.00°
Space group Amm2 (No. 38)
Unique sites:
Gd  0.0000  0.0000  0.0000
Gd  0.5000  0.0000  0.3323
Tm  0.0000  0.2328  0.7428
Al  0.0000  0.0000  0.5020
Al  0.5000  0.0000  0.8201
Al  0.5000  0.2104  0.5870

Output
For the total DFT energy (no corrections), the calculation gives -4.37 eV/atom. The density comes out at 6.655 g cm⁻³. As for the relative energy among the computed polymorphs: 0.168 eV per atom.